A geometry-optimized Mn2CuI8 structure. Source: the Alexandria database, functional PBE.

Calculated values
crystal system = monoclinic
ΔE_f (raw) = -0.18 eV per atom
symmetry = C2/m

abc: 8.1806 8.1806 7.1892
angles: 94.47 94.47 81.54
Positions (direct):
Mn 0.2141 0.2141 0.1720
Mn 0.7859 0.7859 0.8280
Cu 0.0000 0.0000 0.5000
I 0.0795 0.7262 0.6885
I 0.2225 0.2225 0.8177
I 0.2738 0.9205 0.3115
I 0.4161 0.4161 0.2888
I 0.5839 0.5839 0.7112
I 0.7262 0.0795 0.6885
I 0.7775 0.7775 0.1823
I 0.9205 0.2738 0.3115

A geometry-optimized Er2Al5Ag3 structure. Source: the Alexandria database, functional PBE.

Calculated values
crystal system = orthorhombic
ΔE_f = -307 kJ/mol of formula units
symmetry = Ibam

abc: 8.6800 8.6800 8.6800
angles: 99.73 93.85 139.80
Positions (direct):
Er 0.1278 0.2447 0.3725
Er 0.3722 0.7447 0.1169
Er 0.6278 0.2553 0.8831
Er 0.8722 0.7553 0.6275
Al 0.0035 0.7500 0.2535
Al 0.1187 0.6431 0.7617
Al 0.2500 0.2500 0.0000
Al 0.3813 0.1431 0.5244
Al 0.4965 0.7500 0.7465
Al 0.5035 0.2500 0.2535
Al 0.6187 0.8569 0.4756
Al 0.7500 0.7500 0.0000
Al 0.8813 0.3569 0.2383
Al 0.9965 0.2500 0.7465
Ag 0.1270 0.8639 0.9909
Ag 0.2500 0.7500 0.5000
Ag 0.3730 0.3639 0.7369
Ag 0.6270 0.6361 0.2631
Ag 0.7500 0.2500 0.5000
Ag 0.8730 0.1361 0.0091

A geometry-optimized ZrMo2Cl structure. Source: the Alexandria database, functional PBE.

Calculated values
crystal system = orthorhombic
ΔE_f (raw) = -0.04 eV per atom
symmetry = Cmm2

abc: 3.0106 3.0106 9.1977
angles: 90.00 90.00 113.86
Positions (direct):
Zr 0.0000 0.0000 0.0000
Mo 0.0000 0.0000 0.4593
Mo 0.5000 0.5000 0.2541
Cl 0.5000 0.5000 0.7785

A geometry-optimized PmThGe2O8 structure. Source: the Alexandria database, functional PBE.

Calculated values
crystal system = tetragonal
ΔE_f (raw) = -2.49 eV per atom
symmetry = I-4m2

abc: 6.1179 6.1179 6.1179
angles: 107.13 107.13 114.26
Positions (direct):
Pm 0.0000 0.0000 0.0000
Th 0.7500 0.2500 0.5000
Ge 0.2500 0.7500 0.5000
Ge 0.5000 0.5000 0.0000
O 0.0698 0.3898 0.3200
O 0.0698 0.7499 0.6800
O 0.1398 0.3222 0.8175
O 0.2501 0.9302 0.3200
O 0.5047 0.3222 0.1825
O 0.6102 0.9302 0.6800
O 0.6778 0.4953 0.8175
O 0.6778 0.8602 0.1825

A geometry-optimized SbPIr2 structure. Source: the Alexandria database, functional PBE.

Calculated values
crystal system = monoclinic
ΔE_f (raw) = 0.51 eV per atom
symmetry = C2/m

abc: 5.3550 5.3550 3.0056
angles: 106.22 106.22 115.28
Positions (direct):
Sb 0.0000 0.0000 0.0000
P 0.5000 0.5000 0.0000
Ir 0.0000 0.5000 0.5000
Ir 0.5000 0.0000 0.5000

A geometry-optimized ZrCrAg2 structure. Source: the Alexandria database, functional PBE.

Calculated values
crystal system = tetragonal
ΔE_f = 84 kJ/mol of formula units
symmetry = I4/mmm

abc: 5.2436 5.2436 5.2436
angles: 134.59 134.59 66.17
Positions (direct):
Zr 0.0000 0.0000 0.0000
Cr 0.5000 0.5000 0.0000
Ag 0.2500 0.7500 0.5000
Ag 0.7500 0.2500 0.5000

A geometry-optimized PmSiIr structure. Source: the Alexandria database, functional PBE.

Calculated values
crystal system = orthorhombic
ΔE_f (raw) = -0.85 eV per atom
symmetry = Pmmn

abc: 4.3048 4.3582 6.4089
angles: 90.00 90.00 90.00
Positions (direct):
Pm 0.2500 0.2500 0.1541
Pm 0.7500 0.7500 0.8459
Si 0.2500 0.7500 0.5035
Si 0.7500 0.2500 0.4965
Ir 0.2500 0.2500 0.6858
Ir 0.7500 0.7500 0.3142

A geometry-optimized KAuI3 structure. Source: the Alexandria database, functional PBE.

Calculated values
crystal system = cubic
ΔE_f (raw) = -0.50 eV per atom
symmetry = Fd-3m

abc: 10.6920 10.6920 10.6920
angles: 60.00 60.00 60.00
Positions (direct):
K 0.0000 0.0000 0.0000
K 0.0000 0.0000 0.5000
K 0.0000 0.5000 0.0000
K 0.5000 0.0000 0.0000
Au 0.0000 0.5000 0.5000
Au 0.5000 0.0000 0.5000
Au 0.5000 0.5000 0.0000
Au 0.5000 0.5000 0.5000
I 0.1720 0.1720 0.5780
I 0.1720 0.5780 0.1720
I 0.1720 0.5780 0.5780
I 0.4220 0.4220 0.8280
I 0.4220 0.8280 0.4220
I 0.4220 0.8280 0.8280
I 0.5780 0.1720 0.1720
I 0.5780 0.1720 0.5780
I 0.5780 0.5780 0.1720
I 0.8280 0.4220 0.4220
I 0.8280 0.4220 0.8280
I 0.8280 0.8280 0.4220

A geometry-optimized ScCu4Tc structure. Source: the Alexandria database, functional PBE.

Calculated values
crystal system = cubic
ΔE_f = -1 kJ/mol of formula units
symmetry = F-43m

abc: 4.8824 4.8824 4.8824
angles: 60.00 60.00 60.00
Positions (direct):
Sc 0.0000 0.0000 0.0000
Cu 0.3755 0.3755 0.3755
Cu 0.3755 0.3755 0.8735
Cu 0.3755 0.8735 0.3755
Cu 0.8735 0.3755 0.3755
Tc 0.7500 0.7500 0.7500

A geometry-optimized Zr6AlCo2 structure. Source: the Alexandria database, functional PBE.

Calculated values
crystal system = hexagonal
ΔE_f = -107 kJ/mol of formula units
symmetry = P-62m

abc: 7.0490 7.0490 4.1205
angles: 90.00 90.00 120.00
Positions (direct):
Zr 0.0000 0.4066 0.0000
Zr 0.0000 0.7219 0.5000
Zr 0.2781 0.2781 0.5000
Zr 0.4066 0.0000 0.0000
Zr 0.5934 0.5934 0.0000
Zr 0.7219 0.0000 0.5000
Al 0.0000 0.0000 0.0000
Co 0.3333 0.6667 0.5000
Co 0.6667 0.3333 0.5000

A geometry-optimized NpSb2 structure. Source: the Alexandria database, functional PBE.

Calculated values
crystal system = orthorhombic
ΔE_f (raw) = -0.23 eV per atom
symmetry = Cmce

abc: 4.3501 4.3501 17.1923
angles: 90.00 90.00 89.43
Positions (direct):
Np 0.1413 0.8587 0.8926
Np 0.3587 0.6413 0.3926
Np 0.6413 0.3587 0.6074
Np 0.8587 0.1413 0.1074
Sb 0.1301 0.3699 0.7500
Sb 0.1413 0.8587 0.5703
Sb 0.3587 0.6413 0.0703
Sb 0.3699 0.1301 0.2500
Sb 0.6301 0.8699 0.7500
Sb 0.6413 0.3587 0.9297
Sb 0.8587 0.1413 0.4297
Sb 0.8699 0.6301 0.2500

A geometry-optimized BeCoRu structure. Source: the Alexandria database, functional PBE.

Calculated values
crystal system = tetragonal
ΔE_f = -34 kJ/mol of formula units
symmetry = I4mm

abc: 4.8131 4.8131 4.8131
angles: 147.42 147.42 46.74
Positions (direct):
Be 0.0000 0.0000 0.0000
Co 0.6422 0.6422 0.0000
Ru 0.3300 0.3300 0.0000

A geometry-optimized Dy6AsS3N2 structure. Source: the Alexandria database, functional PBE.

Calculated values
crystal system = monoclinic
ΔE_f (raw) = -1.77 eV per atom
symmetry = C2/m

abc: 8.5683 8.5683 7.7267
angles: 104.05 104.05 25.37
Positions (direct):
Dy 0.0195 0.0195 0.2659
Dy 0.3215 0.3215 0.4355
Dy 0.3275 0.3275 0.8784
Dy 0.6725 0.6725 0.1216
Dy 0.6785 0.6785 0.5645
Dy 0.9805 0.9805 0.7341
As 0.5000 0.5000 0.0000
S 0.1619 0.1619 0.8311
S 0.5000 0.5000 0.5000
S 0.8381 0.8381 0.1689
N 0.1714 0.1714 0.3384
N 0.8286 0.8286 0.6616

A geometry-optimized NaRu2I structure. Source: the Alexandria database, functional PBE.

Calculated values
crystal system = cubic
ΔE_f (raw) = 0.85 eV per atom
symmetry = Fm-3m

abc: 4.5290 4.5290 4.5290
angles: 60.00 60.00 60.00
Positions (direct):
Na 0.0000 0.0000 0.0000
Ru 0.2500 0.2500 0.2500
Ru 0.7500 0.7500 0.7500
I 0.5000 0.5000 0.5000

A geometry-optimized La2PmNd4Mg structure. Source: the Alexandria database, functional PBE.

Calculated values
crystal system = monoclinic
ΔE_f = 60 kJ/mol of formula units
symmetry = P2/m

abc: 5.9192 5.9296 7.7363
angles: 90.00 90.05 90.00
Positions (direct):
La 0.0000 0.0000 0.0000
La 0.5000 0.5000 0.5000
Pm 0.0000 0.0000 0.5000
Nd 0.0009 0.5000 0.2306
Nd 0.5002 0.0000 0.2309
Nd 0.4998 0.0000 0.7691
Nd 0.9991 0.5000 0.7694
Mg 0.5000 0.5000 0.0000

A geometry-optimized Dy2HSe structure. Source: the Alexandria database, functional PBE.

Calculated values
crystal system = trigonal
symmetry = R3m

abc: 7.6527 7.6527 7.6527
angles: 28.37 28.37 28.37
Positions (direct):
Dy 0.0000 0.0000 0.0000
Dy 0.1628 0.1628 0.1628
H 0.3510 0.3510 0.3510
Se 0.5816 0.5816 0.5816

A geometry-optimized K2US2I2 structure. Source: the Alexandria database, functional PBE.

Calculated values
crystal system = tetragonal
ΔE_f (raw) = -1.35 eV per atom
symmetry = I4/mmm

abc: 9.8403 9.8403 9.8403
angles: 148.86 148.86 44.61
Positions (direct):
K 0.1223 0.1223 0.0000
K 0.8777 0.8777 0.0000
U 0.5000 0.5000 0.0000
S 0.0000 0.5000 0.5000
S 0.5000 0.0000 0.5000
I 0.3284 0.3284 0.0000
I 0.6716 0.6716 0.0000

A geometry-optimized CeAs2IrRh2 structure. Source: the Alexandria database, functional PBE.

Calculated values
crystal system = orthorhombic
ΔE_f = -291 kJ/mol of formula units
symmetry = Pnnm

abc: 4.6480 12.4060 4.2798
angles: 90.00 90.00 90.00
Positions (direct):
Ce 0.0000 0.0000 0.0000
Ce 0.5000 0.5000 0.5000
As 0.1024 0.3096 0.0000
As 0.3976 0.8096 0.5000
As 0.6024 0.1904 0.5000
As 0.8976 0.6904 0.0000
Ir 0.0000 0.5000 0.0000
Ir 0.5000 0.0000 0.5000
Rh 0.1185 0.6462 0.5000
Rh 0.3815 0.1462 0.0000
Rh 0.6185 0.8538 0.0000
Rh 0.8815 0.3538 0.5000

A geometry-optimized MgTl4In2 structure. Source: the Alexandria database, functional PBE.

Calculated values
crystal system = trigonal
ΔE_f = 26 kJ/mol of formula units
symmetry = R-3m

abc: 19.5038 19.5038 19.5038
angles: 10.13 10.13 10.13
Positions (direct):
Mg 0.0000 0.0000 0.0000
Tl 0.1413 0.1413 0.1413
Tl 0.2911 0.2911 0.2911
Tl 0.7089 0.7089 0.7089
Tl 0.8587 0.8587 0.8587
In 0.2391 0.2391 0.2391
In 0.7609 0.7609 0.7609

A geometry-optimized Th2Mg2Si4Ir structure. Source: the Alexandria database, functional PBE.

Calculated values
crystal system = tetragonal
ΔE_f (raw) = -0.44 eV per atom
symmetry = I4/mmm

abc: 6.2526 6.2526 6.2526
angles: 118.22 118.22 93.11
Positions (direct):
Th 0.2500 0.7500 0.5000
Th 0.7500 0.2500 0.5000
Mg 0.1998 0.1998 0.0000
Mg 0.8002 0.8002 0.0000
Si 0.2329 0.2329 0.4659
Si 0.2329 0.7671 0.0000
Si 0.7671 0.2329 0.0000
Si 0.7671 0.7671 0.5341
Ir 0.5000 0.5000 0.0000

A geometry-optimized CaTl4Hg structure. Source: the Alexandria database, functional PBE.

Calculated values
crystal system = cubic
ΔE_f = -18 kJ/mol of formula units
symmetry = F-43m

abc: 6.4234 6.4234 6.4234
angles: 60.00 60.00 60.00
Positions (direct):
Ca 0.0000 0.0000 0.0000
Tl 0.3752 0.3752 0.3752
Tl 0.3752 0.3752 0.8745
Tl 0.3752 0.8745 0.3752
Tl 0.8745 0.3752 0.3752
Hg 0.7500 0.7500 0.7500

A geometry-optimized Pm4Rh2O structure. Source: the Alexandria database, functional PBE.

Calculated values
crystal system = tetragonal
ΔE_f (raw) = -1.14 eV per atom
symmetry = I4/mmm

abc: 8.0421 8.0421 8.0421
angles: 145.60 145.60 49.44
Positions (direct):
Pm 0.0000 0.5000 0.5000
Pm 0.1870 0.1870 0.0000
Pm 0.5000 0.0000 0.5000
Pm 0.8130 0.8130 0.0000
Rh 0.3718 0.3718 0.0000
Rh 0.6282 0.6282 0.0000
O 0.0000 0.0000 0.0000

A geometry-optimized La2Nd2Th structure. Source: the Alexandria database, functional PBE.

Calculated values
crystal system = trigonal
ΔE_f = 7 kJ/mol of formula units
symmetry = R-3m

abc: 15.0619 15.0619 15.0619
angles: 14.06 14.06 14.06
Positions (direct):
La 0.1335 0.1335 0.1335
La 0.8665 0.8665 0.8665
Nd 0.3967 0.3967 0.3967
Nd 0.6033 0.6033 0.6033
Th 0.0000 0.0000 0.0000

A geometry-optimized HoTiTc4 structure. Source: the Alexandria database, functional PBE.

Calculated values
crystal system = cubic
ΔE_f = -68 kJ/mol of formula units
symmetry = F-43m

abc: 5.2685 5.2685 5.2685
angles: 60.00 60.00 60.00
Positions (direct):
Ho 0.0000 0.0000 0.0000
Ti 0.7500 0.7500 0.7500
Tc 0.3755 0.3755 0.3755
Tc 0.3755 0.3755 0.8735
Tc 0.3755 0.8735 0.3755
Tc 0.8735 0.3755 0.3755

The following magnetization values (in Bohr magnetons per cell) correspond, in order, to the records above: 7.2; 0.0; 0.0; 0.0; 0.0; 3.0; 0.0; 0.0; 0.0; 0.0; 14.9; 1.4; 0.0; 0.0; 0.0; 0.4; 2.0; 0.4; 0.0; 0.0; 0.0; 0.0; 0.0; 0.0.
The following electronic total energy values (in eV/cell) correspond, in order, to the records above: -36.9; -79.1; -32.2; -90.9; -25.2; -23.0; -43.2; -46.2; -33.1; -70.4; -87.5; -20.5; -82.6; -18.0; -34.7; -19.5; -34.3; -83.6; -16.3; -52.6; -12.0; -46.7; -26.7; -54.6.